Density functional theory data (PBE-GGA) for crystalline Tm8Bi2Pb3 at its relaxed geometry.

Cell lengths 9.0315, 9.0315, 7.2425 Å; angles 100.35, 100.35, 43.67 degrees
With the nearest neighbours (Å) after each atom.
Atoms (fractional coordinates):
Tm  0.0425  0.0425  0.2117  1 Bi 2.96, 2 Pb 3.00, 1 Tm 3.12
Tm  0.1008  0.6074  0.1246  2 Bi 3.20-3.45, 2 Pb 3.25-3.29, 3 Tm 3.31-3.51
Tm  0.3438  0.3438  0.6678  1 Bi 3.08, 3 Pb 3.19-3.43
Tm  0.3926  0.8992  0.8754  2 Bi 3.20-3.45, 2 Pb 3.25-3.29, 3 Tm 3.31-3.51
Tm  0.6074  0.1008  0.1246  2 Bi 3.20-3.45, 2 Pb 3.25-3.29, 3 Tm 3.31-3.51
Tm  0.6562  0.6562  0.3322  1 Bi 3.08, 3 Pb 3.19-3.43
Tm  0.8992  0.3926  0.8754  2 Bi 3.20-3.45, 2 Pb 3.25-3.29, 3 Tm 3.31-3.51
Tm  0.9575  0.9575  0.7883  1 Bi 2.96, 2 Pb 3.00, 1 Tm 3.12
Bi  0.2224  0.2224  0.2903  4 Tm 2.96-3.20
Bi  0.7776  0.7776  0.7097  4 Tm 2.96-3.20
Pb  0.2802  0.7198  0.5000  1 Pb 2.95, 4 Tm 3.00-3.29
Pb  0.5000  0.5000  0.0000  6 Tm 3.19-3.25
Pb  0.7198  0.2802  0.5000  1 Pb 2.95, 4 Tm 3.00-3.29

The calculation puts the electronic total energy at -4.4549 eV per atom. The calculation puts the energy of formation at -250.4 meV per atom. The mass density is 9.9 g/cm3. The value obtained for the density of states at the Fermi level is 0.694 states/eV/atom. The size of the total moment comes out at 0.0 μB/f.u.